Entry from the Alexandria database: crystalline YGa3NiIr at its relaxed geometry (PBE).

As for the space group: Cmcm, No. 63. The calculated formation energy comes out at -0.41 eV/atom. The magnetic moment is 0.0 Bohr magnetons per cell. As for the density of states at the Fermi level: 0.41 states/eV per atom.

Cell: 5.450 7.834 6.592 Å, 126.46 90.00 90.00°
Element x y z (fractional)
Ir: 0.250 0.410 0.820
Ir: 0.750 0.590 0.180
Ni: 0.750 0.040 0.081
Ni: 0.250 0.960 0.919
Ga: 0.000 0.749 0.000
Ga: 0.250 0.179 0.358
Ga: 0.500 0.251 0.000
Ga: 0.500 0.749 0.000
Ga: 0.750 0.821 0.642
Ga: 0.000 0.251 0.000
Y: 0.750 0.296 0.592
Y: 0.250 0.704 0.408